# Mn2CoRu | Alexandria | PBE | optimized geometry
# N(E_F) (states/eV/cell): 4.6
# Raw total energy (eV per atom): -8.599
# Energy of formation from the pure elements (eV/atom): 0.081
data_Mn2CoRu
_symmetry_space_group_name_H-M 'P 1'
_symmetry_Int_Tables_number 1
_cell_length_a 4.447
_cell_length_b 4.447
_cell_length_c 4.448
_cell_angle_alpha 79.93
_cell_angle_beta 79.93
_cell_angle_gamma 34.01
loop_
_symmetry_equiv_pos_as_xyz
'x,y,z'
loop_
_atom_site_label
_atom_site_type_symbol
_atom_site_fract_x
_atom_site_fract_y
_atom_site_fract_z
Mn1 Mn 0.999 0.999 0.001
Co1 Co 0.749 0.749 0.749
Mn2 Mn 0.252 0.252 0.239
Ru1 Ru 0.499 0.499 0.512

# MnCo2Ru2 | Alexandria | PBE | optimized geometry
# N(E_F) (states/eV/cell): 13.5
# Raw total energy (eV per atom): -8.005
# Energy of formation from the pure elements (eV/atom): 0.381
data_MnCo2Ru2
_symmetry_space_group_name_H-M 'P 1'
_symmetry_Int_Tables_number 1
_cell_length_a 6.844
_cell_length_b 6.844
_cell_length_c 2.658
_cell_angle_alpha 90.00
_cell_angle_beta 90.00
_cell_angle_gamma 90.00
loop_
_symmetry_equiv_pos_as_xyz
'x,y,z'
loop_
_atom_site_label
_atom_site_type_symbol
_atom_site_fract_x
_atom_site_fract_y
_atom_site_fract_z
Mn1 Mn 0.000 0.000 0.000
Co1 Co 0.120 0.380 0.000
Co2 Co 0.620 0.120 0.000
Co3 Co 0.380 0.880 0.000
Mn2 Mn 0.500 0.500 0.000
Ru1 Ru 0.823 0.323 0.500
Ru2 Ru 0.177 0.677 0.500
Ru3 Ru 0.677 0.823 0.500
Co4 Co 0.880 0.620 0.000
Ru4 Ru 0.323 0.177 0.500

# Mn2CoRu | Alexandria | PBE | optimized geometry
# N(E_F) (states/eV/cell): 5.4
# Raw total energy (eV per atom): -8.586
# Energy of formation from the pure elements (eV/atom): 0.094
data_Mn2CoRu
_symmetry_space_group_name_H-M 'P 1'
_symmetry_Int_Tables_number 1
_cell_length_a 2.580
_cell_length_b 3.559
_cell_length_c 5.106
_cell_angle_alpha 90.00
_cell_angle_beta 90.00
_cell_angle_gamma 90.00
loop_
_symmetry_equiv_pos_as_xyz
'x,y,z'
loop_
_atom_site_label
_atom_site_type_symbol
_atom_site_fract_x
_atom_site_fract_y
_atom_site_fract_z
Co1 Co 0.500 0.500 0.750
Mn1 Mn 0.000 0.000 0.514
Mn2 Mn 0.000 0.000 0.986
Ru1 Ru 0.500 0.500 0.250